# 1
Crystalline HoSn2Pb2 at its relaxed geometry. Source: Alexandria via LeMat-Bulk, functional PBE.

Energy of formation from the pure elements: -0.28 eV per atom
Space group: Cmcm (63)

abc: 4.5607 4.5591 13.8422
angles: 90.00 99.48 90.00
Positions (direct):
Ho1 0.3386 0.2500 0.6772
Ho2 0.6614 0.7500 0.3228
Pb1 0.4417 0.7500 0.8833
Pb2 0.5583 0.2500 0.1167
Pb3 0.9421 0.2500 0.8843
Pb4 0.0579 0.7500 0.1157
Sn1 0.7497 0.2500 0.4994
Sn2 0.2503 0.7500 0.5006
Sn3 0.1475 0.2500 0.2950
Sn4 0.8525 0.7500 0.7050


# 2
Crystalline YTiZnIn at its relaxed geometry. Source: Alexandria via LeMat-Bulk, functional PBE.

Energy of formation from the pure elements: -0.18 eV per atom
Space group: F-43m (216)

abc: 4.9194 4.9194 4.9194
angles: 60.00 60.00 60.00
Positions (direct):
Zn1 0.0000 0.0000 0.0000
Y1 0.7500 0.7500 0.7500
Ti1 0.2500 0.2500 0.2500
In1 0.5000 0.5000 0.5000


# 3
Crystalline LuTiCdGa at its relaxed geometry. Source: Alexandria via LeMat-Bulk, functional PBE.

Energy of formation from the pure elements: -0.21 eV per atom
Space group: F-43m (216)

abc: 4.8342 4.8342 4.8342
angles: 60.00 60.00 60.00
Positions (direct):
Ti1 0.2500 0.2500 0.2500
Cd1 0.5000 0.5000 0.5000
Lu1 0.7500 0.7500 0.7500
Ga1 0.0000 0.0000 0.0000


# 4
Crystalline Ho4Er6Tl at its relaxed geometry. Source: Alexandria via LeMat-Bulk, functional PBE.

Energy of formation from the pure elements: 0.13 eV per atom
Space group: P-6m2 (187)

abc: 3.4293 10.8191 10.8196
angles: 120.00 90.00 90.01
Positions (direct):
Ho1 0.5003 0.3069 0.1535
Ho2 0.0000 0.3333 0.6667
Ho3 0.4999 0.8466 0.1534
Ho4 0.4998 0.8466 0.6931
Er1 0.0001 0.5166 0.0333
Er2 0.9997 0.9667 0.4834
Er3 0.5005 0.6307 0.8154
Er4 0.4998 0.1847 0.8154
Er5 0.4997 0.1847 0.3693
Er6 0.0001 0.5166 0.4834
Tl1 0.0000 0.0000 0.0000


# 5
Crystalline CsSi2I at its relaxed geometry. Source: Alexandria via LeMat-Bulk, functional PBE.

Formation energy without anion corrections: 0.9875 eV per atom
Space group: Fm-3m (225)

abc: 5.5710 5.5710 5.5710
angles: 60.00 60.00 60.00
Positions (direct):
I1 0.0000 0.0000 0.0000
Si1 0.2500 0.2500 0.2500
Si2 0.7500 0.7500 0.7500
Cs1 0.5000 0.5000 0.5000


# 6
Crystalline Cs2TaPtS at its relaxed geometry. Source: Alexandria via LeMat-Bulk, functional PBE.

Formation energy without anion corrections: 0.8682 eV per atom
Space group: P4/mmm (123)

abc: 6.8180 4.8311 6.8180
angles: 90.00 90.00 90.00
Positions (direct):
S1 0.5000 0.5000 0.5000
Cs1 0.5000 0.0000 0.0000
Cs2 0.0000 0.0000 0.5000
Ta1 0.0000 0.0000 0.0000
Pt1 0.0000 0.5000 0.0000


# 7
Crystalline TbTm3Mn at its relaxed geometry. Source: Alexandria via LeMat-Bulk, functional PBE.

Energy of formation from the pure elements: 0.22 eV per atom
Space group: Pm-3m (221)

abc: 5.2284 5.2284 5.2284
angles: 90.00 90.00 90.00
Positions (direct):
Tm1 0.5000 0.0000 0.0000
Tm2 0.0000 0.0000 0.5000
Tm3 0.0000 0.5000 0.0000
Mn1 0.0000 0.0000 0.0000
Tb1 0.5000 0.5000 0.5000


# 8
Crystalline Li4ErSc3Se8 at its relaxed geometry. Source: Alexandria via LeMat-Bulk, functional PBE.

Formation energy without anion corrections: -1.6172 eV per atom
Space group: R-3m (166)

abc: 7.8211 7.8608 7.8210
angles: 119.85 120.00 90.00
Positions (direct):
Se1 0.7470 0.7410 0.4941
Se2 0.7398 0.7462 0.9931
Se3 0.7467 0.2538 0.0069
Se4 0.2533 0.7462 0.5066
Se5 0.2602 0.2538 0.0069
Se6 0.7467 0.2538 0.4934
Se7 0.2530 0.2590 0.5059
Se8 0.2533 0.7462 0.9931
Sc1 0.5000 0.5000 0.5000
Sc2 0.0000 0.5000 0.5000
Sc3 0.5000 0.5000 0.0000
Li1 0.0000 0.0000 0.5000
Li2 0.5000 0.0000 0.5000
Li3 0.0000 0.0000 0.0000
Li4 0.5000 0.0000 0.0000
Er1 0.0000 0.5000 0.0000


# 9
Crystalline NaFe2Sn2 at its relaxed geometry. Source: Alexandria via LeMat-Bulk, functional PBE.

Energy of formation from the pure elements: 0.16 eV per atom
Space group: P4/mbm (127)
Energy relative to the lowest polymorph listed for this composition: 0.0 meV per atom

abc: 7.8345 7.8345 3.0200
angles: 90.00 90.00 90.00
Positions (direct):
Fe1 0.1085 0.3915 0.0000
Fe2 0.6085 0.1085 0.0000
Fe3 0.3915 0.8915 0.0000
Fe4 0.8915 0.6085 0.0000
Na1 0.0000 0.0000 0.0000
Na2 0.5000 0.5000 0.0000
Sn1 0.8218 0.3218 0.5000
Sn2 0.3218 0.1782 0.5000
Sn3 0.1782 0.6782 0.5000
Sn4 0.6782 0.8218 0.5000


# 10
Crystalline ThMnSi2Ni at its relaxed geometry. Source: Alexandria via LeMat-Bulk, functional PBE.

Formation energy without anion corrections: -0.6932 eV per atom
Space group: I-4m2 (119)

abc: 4.0288 4.0288 5.7051
angles: 110.68 110.68 90.00
Positions (direct):
Ni1 0.7500 0.2500 0.5000
Si1 0.3685 0.3685 0.7370
Si2 0.6315 0.6315 0.2630
Mn1 0.2500 0.7500 0.5000
Th1 0.0000 0.0000 0.0000


# 11
Crystalline Ti5InMo4 at its relaxed geometry. Source: Alexandria via LeMat-Bulk, functional PBE.

Energy of formation from the pure elements: -0.12 eV per atom
Space group: P4/mmm (123)

abc: 3.2327 3.2327 15.8684
angles: 90.00 90.00 90.00
Positions (direct):
Ti1 0.5000 0.5000 0.8796
Ti2 0.5000 0.5000 0.5000
Ti3 0.5000 0.5000 0.3054
Ti4 0.5000 0.5000 0.6946
Ti5 0.5000 0.5000 0.1204
Mo1 0.0000 0.0000 0.7936
Mo2 0.0000 0.0000 0.5962
Mo3 0.0000 0.0000 0.4038
Mo4 0.0000 0.0000 0.2064
In1 0.0000 0.0000 0.0000


# 12
Crystalline KTbAs2Pt4 at its relaxed geometry. Source: Alexandria via LeMat-Bulk, functional PBE.

Energy of formation from the pure elements: -0.66 eV per atom
Space group: P4/mmm (123)

abc: 4.0507 4.0507 11.0160
angles: 90.00 90.00 90.00
Positions (direct):
Pt1 0.5000 0.0000 0.1940
Pt2 0.5000 0.0000 0.8060
Pt3 0.0000 0.5000 0.8060
Pt4 0.0000 0.5000 0.1940
K1 0.0000 0.0000 0.5000
Tb1 0.0000 0.0000 0.0000
As1 0.5000 0.5000 0.3226
As2 0.5000 0.5000 0.6774


# 13
Crystalline CdTc3As at its relaxed geometry. Source: Alexandria via LeMat-Bulk, functional PBE.

Energy of formation from the pure elements: 0.97 eV per atom
Space group: Pm-3m (221)
Energy relative to the lowest polymorph listed for this composition: 0.0 meV per atom

abc: 4.5753 4.5753 4.5753
angles: 90.00 90.00 90.00
Positions (direct):
As1 0.0000 0.0000 0.0000
Tc1 0.0000 0.0000 0.5000
Tc2 0.5000 0.0000 0.0000
Tc3 0.0000 0.5000 0.0000
Cd1 0.5000 0.5000 0.5000


# 14
Crystalline LiZn2Ge at its relaxed geometry. Source: Alexandria via LeMat-Bulk, functional PBE.

Energy of formation from the pure elements: -0.05 eV per atom
Space group: F-43m (216)

abc: 4.4739 4.4739 4.4754
angles: 60.01 60.01 60.00
Positions (direct):
Ge1 0.4999 0.4999 0.5004
Zn1 0.2500 0.2500 0.2499
Zn2 0.0001 0.0001 0.9996
Li1 0.7500 0.7500 0.7500


# 15
Crystalline Tm2SN at its relaxed geometry. Source: Alexandria via LeMat-Bulk, functional PBE.

Formation energy without anion corrections: -1.8301 eV per atom
Space group: R3m (160)
Energy relative to the lowest polymorph listed for this composition: 52.9 meV per atom

abc: 3.5294 3.5294 6.6347
angles: 74.57 74.57 60.00
Positions (direct):
N1 0.6700 0.6700 0.9901
Tm1 0.0672 0.0672 0.7984
Tm2 0.2639 0.2639 0.2083
S1 0.4990 0.4990 0.5031


# 16
Crystalline ZrSb2Ir at its relaxed geometry. Source: Alexandria via LeMat-Bulk, functional PBE.

Formation energy without anion corrections: -0.0964 eV per atom
Space group: C2/m (12)
Energy relative to the lowest polymorph listed for this composition: 270.4 meV per atom

abc: 5.2388 5.2388 5.7399
angles: 70.29 70.29 35.16
Positions (direct):
Sb1 0.9735 0.9735 0.0031
Sb2 0.5265 0.5265 0.4969
Ir1 0.2500 0.2500 0.2500
Zr1 0.7500 0.7500 0.7500


# 17
Crystalline HoRePbO6 at its relaxed geometry. Source: Alexandria via LeMat-Bulk, functional PBE.

Formation energy without anion corrections: -2.0340 eV per atom
Space group: P312 (149)

abc: 5.5814 5.5814 5.1851
angles: 90.00 90.00 60.00
Positions (direct):
Ho1 0.6666 0.6667 0.5000
O1 0.6053 0.0434 0.2908
O2 0.0434 0.3513 0.2908
O3 0.0434 0.6054 0.7092
O4 0.3513 0.6053 0.2908
O5 0.6053 0.3513 0.7092
O6 0.3512 0.0435 0.7092
Pb1 0.9999 0.0000 0.0000
Re1 0.3333 0.3333 0.5000


In μB/cell, the total moment values for the records above are, in order, 0.00, 0.00, 0.00, 0.00, 0.00, 3.50, 0.55, 0.00, 8.76, 0.00, 0.00, 0.00, 1.49, 0.00, 0.00, 0.00, 0.00.